1.
Below is an optimized crystal structure of TiAl2Zn, with properties calculated at the GGA-PBEsol level.

Cell: 5.352 5.652 5.652 Å, 77.05 61.74 61.74°
Sites, in units of the cell vectors:
Ti1 0.500 0.000 0.000
Ti2 0.250 0.500 0.500
Al1 0.875 0.469 0.031
Al2 0.094 0.031 0.531
Al3 0.656 0.969 0.469
Al4 0.375 0.531 0.969
Zn1 0.750 0.500 0.500
Zn2 0.000 0.000 0.000

Results
Total moment = 0.00 μB per formula unit
E_tot = -4.43 eV/atom
SG = I-42d (122)
Energy of formation from the pure elements = 96 meV per atom
Calculated density = 4.19 g/cm3

2.
Below is an optimized crystal structure of EuTm2Se4, with properties calculated at the GGA-PBEsol level.

Cell: 4.019 12.161 14.541 Å, 90.00 90.00 90.00°
Last column: magnetic moment on the atom in μB.
Sites, in units of the cell vectors:
Se1 0.250 0.409 0.420  -0.01
Se2 0.750 0.293 0.676  -0.02
Se3 0.750 0.866 0.531  -0.01
Se4 0.750 0.091 0.920  -0.01
Se5 0.250 0.525 0.784  -0.01
Se6 0.250 0.025 0.716  -0.01
Se7 0.250 0.207 0.176  -0.02
Se8 0.250 0.634 0.031  -0.01
Se9 0.250 0.707 0.324  -0.02
Se10 0.750 0.975 0.284  -0.01
Se11 0.750 0.591 0.580  -0.01
Se12 0.750 0.475 0.216  -0.01
Se13 0.750 0.366 0.969  -0.01
Se14 0.250 0.909 0.080  -0.01
Se15 0.750 0.793 0.824  -0.02
Se16 0.250 0.134 0.469  -0.01
Tm1 0.750 0.582 0.903  0.01
Tm2 0.250 0.418 0.097  0.01
Tm3 0.250 0.934 0.890  0.02
Tm4 0.750 0.566 0.390  0.02
Tm5 0.750 0.066 0.110  0.02
Tm6 0.250 0.918 0.403  0.01
Tm7 0.250 0.434 0.610  0.02
Tm8 0.750 0.082 0.597  0.01
Eu1 0.750 0.742 0.166  6.80
Eu2 0.250 0.758 0.666  6.80
Eu3 0.250 0.258 0.834  6.80
Eu4 0.750 0.242 0.334  6.80

Results
Total moment = 6.98 μB per formula unit
E_tot = -7.05 eV/atom
SG = Pnma (62)
Calculated density = 7.53 g/cm3

3.
Below is an optimized crystal structure of Tb3Sb5O12, with properties calculated at the GGA-PBEsol level.

Cell: 9.290 9.290 9.290 Å, 109.47 109.47 109.47°
Sites, in units of the cell vectors:
O1 0.202 0.202 0.723
O2 0.796 0.504 0.504
O3 0.277 0.478 0.478
O4 0.496 0.000 0.291
O5 0.798 0.000 0.522
O6 0.798 0.522 0.000
O7 0.202 0.723 0.202
O8 0.723 0.202 0.202
O9 0.000 0.291 0.496
O10 0.709 0.204 0.709
O11 0.000 0.798 0.522
O12 0.478 0.478 0.277
O13 0.522 0.798 0.000
O14 0.504 0.504 0.796
O15 0.291 0.000 0.496
O16 0.478 0.277 0.478
O17 0.000 0.496 0.291
O18 0.709 0.709 0.204
O19 0.522 0.000 0.798
O20 0.000 0.522 0.798
O21 0.204 0.709 0.709
O22 0.496 0.291 0.000
O23 0.291 0.496 0.000
O24 0.504 0.796 0.504
Sb1 0.000 0.279 0.279
Sb2 0.279 0.000 0.279
Sb3 0.000 0.482 0.000
Sb4 0.721 0.721 0.000
Sb5 0.482 0.000 0.000
Sb6 0.000 0.000 0.482
Sb7 0.279 0.279 0.000
Sb8 0.518 0.518 0.518
Sb9 0.000 0.721 0.721
Sb10 0.721 0.000 0.721
Tb1 0.500 0.250 0.750
Tb2 0.250 0.750 0.500
Tb3 0.750 0.500 0.250
Tb4 0.750 0.250 0.500
Tb5 0.250 0.500 0.750
Tb6 0.500 0.750 0.250

Results
Total moment = 0.00 μB per formula unit
E_tot = -7.31 eV/atom
SG = I-43m (217)
Calculated density = 6.87 g/cm3

4.
Below is an optimized crystal structure of Ag2SbPb2, with properties calculated at the GGA-PBEsol level.

Cell: 4.403 7.409 7.409 Å, 90.00 90.00 90.00°
Sites, in units of the cell vectors:
Pb1 0.500 0.668 0.832
Pb2 0.500 0.332 0.168
Pb3 0.500 0.168 0.668
Pb4 0.500 0.832 0.332
Ag1 0.000 0.131 0.369
Ag2 0.000 0.369 0.869
Ag3 0.000 0.869 0.631
Ag4 0.000 0.631 0.131
Sb1 0.000 0.500 0.500
Sb2 0.000 0.000 0.000

Results
Total moment = 0.00 μB per formula unit
E_tot = -3.76 eV/atom
SG = P4/mbm (127)
Calculated density = 10.33 g/cm3

5.
Below is an optimized crystal structure of TlNiTe2, with properties calculated at the GGA-PBEsol level.

Cell: 5.078 5.078 5.078 Å, 60.00 60.00 60.00°
Last column: magnetic moment on the atom in μB.
Sites, in units of the cell vectors:
Tl1 0.500 0.500 0.500  0.02
Te1 0.750 0.750 0.750  0.05
Te2 0.250 0.250 0.250  0.05
Ni1 0.000 0.000 0.000  0.59

Results
Total moment = 0.76 μB per formula unit
E_tot = -3.51 eV/atom
SG = Fm-3m (225)
Calculated density = 9.30 g/cm3

6.
Below is an optimized crystal structure of ScAl2Co, with properties calculated at the GGA-PBEsol level.

Cell: 3.805 3.805 4.137 Å, 90.00 90.00 90.00°
Sites, in units of the cell vectors:
Sc1 0.000 0.000 0.500
Co1 0.500 0.500 0.500
Al1 0.000 0.500 0.000
Al2 0.500 0.000 0.000

Results
Total moment = 0.00 μB per formula unit
E_tot = -5.97 eV/atom
SG = P4/mmm (123)
Energy of formation from the pure elements = -342 meV per atom
Calculated density = 4.38 g/cm3